Density functional theory data (GGA-PBE) for a relaxed structure of IrBr5N2.

Output
The volume comes out at 29.2 Å³ per atom. The value obtained for the size of the total moment is 2.3 μB per formula unit. The value obtained for the uncorrected energy is -3.3559 eV per atom.

Cell: 5.117 6.936 7.383 Å, 74.02 70.10 75.55°
Space group P1 (No. 1)
Symmetry-distinct sites (fractional):
Ir: 0.000 0.000 0.000 (multiplicity 1)
Br: 0.118 0.173 0.646 (multiplicity 1)
Br: 0.175 0.673 0.883 (multiplicity 1)
Br: 0.530 0.029 0.924 (multiplicity 1)
Br: 0.809 0.334 0.101 (multiplicity 1)
Br: 0.861 0.829 0.357 (multiplicity 1)
N: 0.103 0.453 0.103 (multiplicity 1)
N: 0.193 0.755 0.414 (multiplicity 1)